The following is a DFT calculation (PBE) of a relaxed structure of HRhN3.

a = 3.8194 Å, b = 3.8194 Å, c = 3.8194 Å
α = 90.00°, β = 90.00°, γ = 90.00°
Closest atoms and distances in Å follow each position.
Fractional positions:
N 0.0000 0.5000 0.0000  2 Rh 1.91
N 0.5000 0.0000 0.0000  2 Rh 1.91
N 0.0000 0.0000 0.5000  2 Rh 1.91
H 0.5000 0.5000 0.5000  12 N 2.70
Rh 0.0000 0.0000 0.0000  6 N 1.91

Computed properties:
DFT total energy in eV/atom: -4.8344
Space-group type: No. 221

The following is a DFT calculation (PBE) of a relaxed structure of DyMgSc2Au4.

a = 4.8112 Å, b = 4.8112 Å, c = 8.5502 Å
α = 73.66°, β = 73.66°, γ = 60.00°
Closest atoms and distances in Å follow each position.
Fractional positions:
Sc 0.2448 0.2448 0.2657  7 Au 2.91-2.93
Sc 0.7552 0.7552 0.7343  7 Au 2.91-2.93
Au 0.8754 0.8754 0.3737  4 Sc 2.91-2.92, 3 Mg 2.96, 1 Dy 3.02
Au 0.3832 0.3832 0.8504  1 Mg 2.83, 3 Sc 2.93, 3 Dy 3.03
Au 0.6168 0.6168 0.1496  1 Mg 2.83, 3 Sc 2.93, 3 Dy 3.03
Au 0.1246 0.1246 0.6263  4 Sc 2.91-2.92, 3 Mg 2.96, 1 Dy 3.02
Dy 0.0000 0.0000 0.0000  8 Au 3.02-3.03
Mg 0.5000 0.5000 0.5000  8 Au 2.83-2.96

Computed properties:
Energy relative to the elements in meV/atom: -771
Space-group type: No. 166

The following is a DFT calculation (PBE) of a relaxed structure of BaAlAgCl6.

a = 6.7938 Å, b = 6.7944 Å, c = 6.4419 Å
α = 90.00°, β = 90.01°, γ = 60.01°
Closest atoms and distances in Å follow each position.
Fractional positions:
Cl 0.3449 0.0454 0.7126  1 Al 2.36
Cl 0.0453 0.3449 0.2874  1 Al 2.36
Cl 0.0453 0.6097 0.7125  1 Al 2.36
Cl 0.6097 0.0454 0.2874  1 Al 2.36
Cl 0.3449 0.6097 0.2874  1 Al 2.36
Cl 0.6097 0.3450 0.7126  1 Al 2.36
Al 0.3333 0.3333 0.5000  6 Cl 2.36
Ba 0.0000 0.0000 0.0000  6 Cl 3.12
Ag 0.6666 0.6667 0.5000  6 Cl 2.77

Computed properties:
Space-group type: No. 149
ΔE_f (raw) in meV/atom: -1574.5

| no. | calculated density (g/cm3) |
| --- | --- |
| 1 | 4.35 |
| 2 | 10.91 |
| 3 | 3.13 |